1.
The following is a GGA-PBE calculation of a geometry-optimized Y4Hf2Ga3C3 structure, from OQMD via LeMat-Bulk.

For the calculated volume, the calculation gives 19.35 Å³ per atom. As for the space group: No. 15.

extended XYZ file:
```
24
Lattice="5.2563 -3.0374 0.0000 5.2563 3.0374 0.0000 -3.6663 0.0000 14.5409" Properties=species:S:1:pos:R:3 pbc="T T T"
C 2.6281 -1.5187 0.0000
C 6.0656 -1.4060 0.0029
C 2.6137 -1.4060 7.2676
C 0.7950 1.5187 7.2705
C 4.2325 1.4060 7.2734
C 0.7806 1.4060 14.5380
Ga 2.9952 0.2723 3.6307
Ga 4.3397 -2.0731 3.6352
Ga 5.6842 0.2723 3.6398
Ga 1.1620 -0.2723 10.9012
Ga 2.5065 2.0731 10.9057
Ga 3.8510 -0.2723 10.9102
Hf 4.3328 -0.5315 1.1102
Hf 4.3466 -0.5315 6.1602
Hf 2.4996 0.5315 8.3807
Hf 2.5134 0.5315 13.4307
Y 7.9148 -0.5342 1.4703
Y 0.8685 -0.4702 1.4721
Y 7.8108 -0.4702 5.7984
Y 0.7646 -0.5342 5.8002
Y 6.0816 0.5342 8.7408
Y -0.9646 0.4702 8.7426
Y 5.9777 0.4702 13.0688
Y -1.0685 0.5342 13.0706
```



2.
The following is a GGA-PBE calculation of a geometry-optimized Hf4ZnGaC2 structure, from OQMD via LeMat-Bulk.

For the calculated volume, the calculation gives 16.43 Å³ per atom. As for the space group: No. 187.

extended XYZ file:
```
8
Lattice="-3.0008 0.0136 1.3048 0.9664 -2.5168 -1.8544 4.9816 -6.5791 11.5253" Properties=species:S:1:pos:R:3 pbc="T T T"
C 0.8847 -3.3120 2.0691
C 3.3849 -6.6139 7.8535
Ga 0.0000 0.0000 0.0000
Hf -0.8785 -1.8863 2.1023
Hf 1.6842 -2.2244 3.8967
Hf 3.2973 -4.3548 7.6287
Hf 2.5033 -6.3526 9.9264
Zn 0.8124 -4.1195 6.0144
```



3.
The following is a GGA-PBE calculation of a geometry-optimized Tm4GaHgC2 structure, from OQMD via LeMat-Bulk.

For the calculated volume, the calculation gives 20.80 Å³ per atom. As for the space group: No. 187.

extended XYZ file:
```
8
Lattice="3.5464 0.0000 0.0000 -1.7732 3.0712 0.0000 0.0000 0.0000 15.2804" Properties=species:S:1:pos:R:3 pbc="T T T"
C 0.0000 2.0475 3.8438
C 0.0000 2.0475 11.4366
Ga 1.7732 1.0238 7.6402
Hg 0.0000 0.0000 0.0000
Tm 1.7732 1.0238 2.5808
Tm 0.0000 0.0000 5.2364
Tm 0.0000 0.0000 10.0440
Tm 1.7732 1.0238 12.6996
```



4.
The following is a GGA-PBE calculation of a geometry-optimized Zr4GaHgC2 structure, from OQMD via LeMat-Bulk.

For the calculated volume, the calculation gives 17.70 Å³ per atom. As for the space group: No. 187.

extended XYZ file:
```
8
Lattice="3.3469 0.0000 0.0000 -1.6735 2.8985 0.0000 0.0000 0.0000 14.5931" Properties=species:S:1:pos:R:3 pbc="T T T"
C 0.0000 0.0000 3.5492
C 0.0000 0.0000 11.0439
Ga 1.6735 0.9662 0.0000
Hg 0.0000 1.9323 7.2965
Zr 0.0000 1.9323 2.2761
Zr 1.6735 0.9662 4.8107
Zr 1.6735 0.9662 9.7824
Zr 0.0000 1.9323 12.3170
```



5.
The following is a GGA-PBE calculation of a geometry-optimized Ho4TlGaC2 structure, from OQMD via LeMat-Bulk.

For the calculated volume, the calculation gives 21.96 Å³ per atom. As for the space group: No. 187.

extended XYZ file:
```
8
Lattice="3.5796 0.0000 0.0000 -1.7898 3.1000 0.0000 0.0000 0.0000 15.8328" Properties=species:S:1:pos:R:3 pbc="T T T"
C 1.7898 1.0333 3.8535
C 1.7898 1.0333 11.9794
Ga 0.0000 2.0667 0.0000
Ho 0.0000 0.0000 2.4384
Ho 0.0000 2.0667 5.1332
Ho 0.0000 2.0667 10.6996
Ho 0.0000 0.0000 13.3944
Tl 0.0000 0.0000 7.9164
```



6.
The following is a GGA-PBE calculation of a geometry-optimized Lu4InGaC2 structure, from OQMD via LeMat-Bulk.

For the calculated volume, the calculation gives 20.58 Å³ per atom. As for the space group: No. 187.

extended XYZ file:
```
8
Lattice="-1.8179 -2.6347 -1.3931 1.7401 -0.4688 2.9899 -12.6074 4.4502 8.0352" Properties=species:S:1:pos:R:3 pbc="T T T"
C -2.5196 -0.1057 3.4879
C -8.9795 2.1745 7.6050
Ga 0.0000 0.0000 0.0000
In -6.9356 0.3124 4.0855
Lu -2.6166 -1.2122 1.3328
Lu -4.1025 1.4481 2.6147
Lu -8.5049 3.0021 5.4205
Lu -11.2546 1.8370 6.8382
```



7.
The following is a GGA-PBE calculation of a geometry-optimized InGaMo4C2 structure, from OQMD via LeMat-Bulk.

For the calculated volume, the calculation gives 14.14 Å³ per atom. As for the space group: No. 187.

extended XYZ file:
```
8
Lattice="3.1021 0.0000 0.0000 -1.5510 2.6865 0.0000 0.0000 0.0000 13.5739" Properties=species:S:1:pos:R:3 pbc="T T T"
C 1.5510 0.8955 3.2604
C 1.5510 0.8955 10.3135
Ga 0.0000 0.0000 0.0000
In 0.0000 1.7910 6.7869
Mo 0.0000 1.7910 2.0945
Mo 0.0000 0.0000 4.3964
Mo 0.0000 0.0000 9.1775
Mo 0.0000 1.7910 11.4794
```



8.
The following is a GGA-PBE calculation of a geometry-optimized Lu4GaC3 structure, from OQMD via LeMat-Bulk.

For the calculated volume, the calculation gives 17.43 Å³ per atom. As for the space group: No. 194.

extended XYZ file:
```
16
Lattice="3.4795 0.0000 0.0000 -1.7398 3.0133 0.0000 0.0000 0.0000 26.5933" Properties=species:S:1:pos:R:3 pbc="T T T"
C 0.0000 0.0000 0.0000
C 1.7398 1.0045 2.9810
C 1.7398 1.0045 10.3157
C 0.0000 0.0000 13.2967
C 0.0000 2.0089 16.2776
C 0.0000 2.0089 23.6124
Ga 0.0000 2.0089 6.6483
Ga 1.7398 1.0045 19.9450
Lu 0.0000 2.0089 1.4331
Lu 0.0000 0.0000 4.1475
Lu 0.0000 0.0000 9.1492
Lu 0.0000 2.0089 11.8636
Lu 1.7398 1.0045 14.7297
Lu 0.0000 0.0000 17.4441
Lu 0.0000 0.0000 22.4459
Lu 1.7398 1.0045 25.1603
```



9.
The following is a GGA-PBE calculation of a geometry-optimized Lu2GaC structure, from OQMD via LeMat-Bulk.

For the calculated volume, the calculation gives 19.84 Å³ per atom. As for the space group: No. 15.

extended XYZ file:
```
24
Lattice="5.2120 -3.0052 0.0000 5.2120 3.0052 0.0000 -3.4624 0.0000 15.2006" Properties=species:S:1:pos:R:3 pbc="T T T"
C 2.6060 -1.5026 0.0000
C 6.0569 -1.4627 0.0033
C 2.6359 -1.4627 7.5970
C 0.8748 1.5026 7.6003
C 4.3258 1.4627 7.6036
C 0.9048 1.4627 15.1974
Ga 1.8832 0.9165 3.7978
Ga 4.3464 2.6056 3.8002
Ga 6.8097 0.9165 3.8025
Ga 0.1520 -0.9165 11.3981
Ga 2.6153 -2.6056 11.4005
Ga 5.0785 -0.9165 11.4028
Lu 0.8695 -0.5094 1.2728
Lu 7.8116 -0.4988 1.2731
Lu 4.3533 -0.4910 1.3861
Lu 4.3395 -0.4910 6.2142
Lu 0.8812 -0.4988 6.3272
Lu 7.8234 -0.5094 6.3275
Lu -0.8617 0.5094 8.8731
Lu 6.0805 0.4988 8.8734
Lu 2.6222 0.4910 8.9864
Lu 2.6083 0.4910 13.8145
Lu -0.8500 0.4988 13.9275
Lu 6.0922 0.5094 13.9278
```



10.
The following is a GGA-PBE calculation of a geometry-optimized Lu4Ga3Mo2C3 structure, from OQMD via LeMat-Bulk.

For the calculated volume, the calculation gives 16.59 Å³ per atom. As for the space group: No. 15.

extended XYZ file:
```
24
Lattice="4.9958 -2.9165 0.0000 4.9958 2.9165 0.0000 -3.4794 0.0000 13.6635" Properties=species:S:1:pos:R:3 pbc="T T T"
C 2.4979 1.4582 0.0000
C 4.2160 -1.3686 0.0015
C 4.0358 -1.3686 6.8302
C 0.7582 -1.4582 6.8317
C 2.4763 1.3686 6.8333
C 2.2961 1.3686 13.6619
Ga 5.4297 -0.2887 3.3805
Ga 4.1259 1.9704 3.4159
Ga 2.8221 -0.2887 3.4512
Ga 3.6900 0.2887 10.2123
Ga 2.3862 -1.9704 10.2476
Ga 1.0824 0.2887 10.2830
Lu 0.8278 0.4203 1.3704
Lu 7.5422 0.5181 1.3729
Lu 0.7096 0.5181 5.4589
Lu 7.4241 0.4203 5.4614
Lu -0.9119 -0.4203 8.2021
Lu 5.8025 -0.5181 8.2046
Lu -1.0301 -0.5181 12.2906
Lu 5.6844 -0.4203 12.2931
Mo 4.1168 0.5080 0.9862
Mo 4.1351 0.5080 5.8455
Mo 2.3771 -0.5080 7.8180
Mo 2.3954 -0.5080 12.6772
```



11.
The following is a GGA-PBE calculation of a geometry-optimized Lu3GaCN structure, from OQMD via LeMat-Bulk.

For the calculated volume, the calculation gives 17.37 Å³ per atom. As for the space group: No. 164.

extended XYZ file:
```
12
Lattice="-1.0408 -0.2858 3.2417 2.3929 -2.1126 -1.2185 14.6774 13.2336 5.8789" Properties=species:S:1:pos:R:3 pbc="T T T"
C 2.3225 -0.5351 0.6985
C 13.7069 11.3703 7.2036
Ga 3.7483 3.3796 1.5013
Ga 10.9291 9.8540 4.3775
Lu 0.0000 0.0000 0.0000
Lu 2.0669 0.8753 2.5413
Lu 5.5404 4.0071 3.9326
Lu 7.3387 6.6168 2.9394
Lu 10.4891 6.8281 3.9695
Lu 13.9626 9.9599 5.3608
N 7.5913 4.2154 2.8089
N 8.4381 6.6198 5.0932
```



12.
The following is a GGA-PBE calculation of a geometry-optimized Lu4GaPC2 structure, from OQMD via LeMat-Bulk.

For the calculated volume, the calculation gives 19.05 Å³ per atom. As for the space group: No. 187.

extended XYZ file:
```
8
Lattice="-3.0473 1.6855 0.6074 1.4588 -1.9835 2.5364 7.1301 11.2098 4.6652" Properties=species:S:1:pos:R:3 pbc="T T T"
C 1.8466 2.2106 3.1299
C 5.1971 7.4782 5.3221
Ga 0.0000 0.0000 0.0000
Lu -0.2824 2.4479 2.0767
Lu 2.5910 4.0735 1.6953
Lu 4.5392 7.1364 2.9699
Lu 4.3220 9.6869 5.0894
P 2.0198 6.0674 3.5830
```



13.
The following is a GGA-PBE calculation of a geometry-optimized Lu4GaPC2 structure, from OQMD via LeMat-Bulk.

For the calculated volume, the calculation gives 19.04 Å³ per atom. As for the space group: No. 187.

extended XYZ file:
```
8
Lattice="-2.7325 1.5254 1.6412 0.2903 -3.5215 -0.0479 7.4323 0.4501 11.9563" Properties=species:S:1:pos:R:3 pbc="T T T"
C 1.7460 0.1057 2.8088
C 5.6863 0.3443 9.1475
Ga 2.9988 -1.6141 6.4933
Lu 0.2983 -1.7777 2.1489
Lu 0.6754 -0.0115 4.9395
Lu 3.3071 0.1478 9.1731
Lu 5.6994 -1.4506 10.8377
P -1.7249 -0.1569 1.0782
```



14.
The following is a GGA-PBE calculation of a geometry-optimized Lu4GaC2S structure, from OQMD via LeMat-Bulk.

For the calculated volume, the calculation gives 18.87 Å³ per atom. As for the space group: No. 187.

extended XYZ file:
```
8
Lattice="-0.5543 3.4929 -0.3295 -1.2788 -1.7431 2.8183 11.7221 2.5084 6.8702" Properties=species:S:1:pos:R:3 pbc="T T T"
C 1.6468 0.5766 3.3421
C 8.0007 1.9363 7.0661
Ga 5.0653 3.0018 4.1548
Lu 0.7781 2.0844 1.6422
Lu 3.7837 0.8097 2.2176
Lu 7.9384 1.6988 4.6526
Lu 9.3524 3.9192 6.6675
S 0.0000 0.0000 0.0000
```



15.
The following is a GGA-PBE calculation of a geometry-optimized Lu4GaC2S structure, from OQMD via LeMat-Bulk.

For the calculated volume, the calculation gives 18.87 Å³ per atom. As for the space group: No. 187.

extended XYZ file:
```
8
Lattice="3.5519 0.0000 0.0000 -1.7760 3.0761 0.0000 0.0000 0.0000 13.8158" Properties=species:S:1:pos:R:3 pbc="T T T"
C 0.0000 2.0507 3.7441
C 0.0000 2.0507 10.0717
Ga 0.0000 0.0000 0.0000
Lu 1.7760 1.0253 2.4484
Lu 0.0000 0.0000 5.0532
Lu 0.0000 0.0000 8.7627
Lu 1.7760 1.0253 11.3674
S 1.7760 1.0253 6.9079
```



16.
The following is a GGA-PBE calculation of a geometry-optimized Lu2Sc4Ga3C3 structure, from OQMD via LeMat-Bulk.

For the calculated volume, the calculation gives 17.74 Å³ per atom. As for the space group: No. 15.

extended XYZ file:
```
24
Lattice="5.0308 -2.9023 0.0000 5.0308 2.9023 0.0000 -3.3673 0.0000 14.5822" Properties=species:S:1:pos:R:3 pbc="T T T"
C 2.5154 -1.4512 0.0000
C 5.8649 -1.4445 0.0000
C 4.1968 1.4445 0.0000
C 4.1812 1.4445 7.2910
C 0.8317 1.4512 7.2911
C 2.5131 -1.4445 7.2912
Ga 1.7736 0.8986 3.6418
Ga 4.1890 2.5141 3.6456
Ga 6.6044 0.8986 3.6493
Ga 0.0899 -0.8986 10.9329
Ga 2.5053 -2.5141 10.9367
Ga 4.9207 -0.8986 10.9404
Lu 4.2033 -0.4788 1.4497
Lu 4.1746 -0.4788 5.8415
Lu 2.5197 0.4788 8.7408
Lu 2.4910 0.4788 13.1326
Sc 7.5341 -0.4788 1.1734
Sc 0.8384 -0.4993 1.1739
Sc 7.5396 -0.4993 6.1172
Sc 0.8439 -0.4788 6.1177
Sc 5.8504 0.4788 8.4645
Sc -0.8453 0.4993 8.4651
Sc 5.8559 0.4993 13.4083
Sc -0.8398 0.4788 13.4088
```



17.
The following is a GGA-PBE calculation of a geometry-optimized Lu2Ta4Ga3C3 structure, from OQMD via LeMat-Bulk.

For the calculated volume, the calculation gives 15.54 Å³ per atom. As for the space group: No. 15.

extended XYZ file:
```
24
Lattice="-3.2154 4.3890 -1.2661 -2.8349 2.6502 4.0180 12.8263 6.0325 1.0615" Properties=species:S:1:pos:R:3 pbc="T T T"
C -1.4175 1.3251 2.0090
C -2.6052 3.3655 -0.2081
C 2.7736 7.5783 0.7909
C 4.8055 5.2107 -0.1023
C 4.0023 5.4933 3.0227
C 9.3812 9.7061 4.0216
Ga 1.5409 3.5974 0.1772
Ga 0.0150 5.7884 -0.6702
Ga -1.2938 6.9874 1.4968
Ga 8.0698 6.0843 2.3167
Ga 6.7610 7.2833 4.4838
Ga 5.2351 9.4742 3.6363
Lu -1.3240 3.7555 1.8024
Lu 1.7478 6.0214 2.3268
Lu 5.0282 7.0503 1.4867
Lu 8.1000 9.3161 2.0112
Ta -3.5950 5.7963 2.6255
Ta 0.4094 1.1163 0.8943
Ta 0.0254 8.6102 3.3880
Ta 4.0172 3.9876 1.4823
Ta 2.7588 9.0840 2.3313
Ta 6.7506 4.4614 0.4256
Ta 6.3666 11.9554 2.9192
Ta 10.3710 7.2754 1.1880
```



18.
The following is a GGA-PBE calculation of a geometry-optimized Lu2Ga3W4C3 structure, from OQMD via LeMat-Bulk.

For the calculated volume, the calculation gives 14.65 Å³ per atom. As for the space group: No. 15.

extended XYZ file:
```
24
Lattice="5.4809 0.0000 0.0000 -2.7276 4.7541 0.0000 -2.5922 -1.6730 13.4898" Properties=species:S:1:pos:R:3 pbc="T T T"
C 1.3736 0.7752 0.0000
C -1.3638 2.3770 0.0000
C 1.3797 3.9789 0.0000
C 1.4329 0.7409 6.7436
C -1.2961 -0.8365 6.7449
C -1.2718 2.3401 6.7462
Ga 3.6533 0.0822 3.3516
Ga 0.9084 -0.0968 3.3724
Ga -0.3024 2.3732 3.3933
Ga 0.4635 0.7078 10.0965
Ga -0.7472 3.1778 10.1173
Ga -3.4922 2.9988 10.1382
Lu 2.2566 2.3788 1.5608
Lu 2.3847 2.3046 5.1841
Lu -2.2236 0.7764 8.3057
Lu -2.0954 0.7022 11.9290
W -0.4194 3.9066 1.0587
W -0.4248 0.8448 1.0605
W -0.3390 3.9695 5.6844
W -0.4394 0.7438 5.6862
W 0.6005 2.3372 7.8036
W 0.5001 -0.8884 7.8054
W 0.5860 2.2362 12.4293
W 0.5806 -0.8256 12.4311
```



| no. | calculated total energy (eV per atom) |
| --- | --- |
| 1 | -7.441 |
| 2 | -8.479 |
| 3 | -5.378 |
| 4 | -7.650 |
| 5 | -5.648 |
| 6 | -5.745 |
| 7 | -8.499 |
| 8 | -6.393 |
| 9 | -5.753 |
| 10 | -6.881 |
| 11 | -6.549 |
| 12 | -6.232 |
| 13 | -6.232 |
| 14 | -6.333 |
| 15 | -6.333 |
| 16 | -6.454 |
| 17 | -8.373 |
| 18 | -8.446 |